12
Lattice="7.180 -0.532 -1.024 -4.340 5.744 -1.024 0.056 0.103 6.348" Properties=species:S:1:pos:R:3 comment="Cu2SbS3, optimized geometry, DFT PBE" final_energy_ev_per_cell=-51.6 e_above_lowest_polymorph_mev_per_atom=0 spacegroup="Cc, No. 9" pbc="T T T"
Cu 2.324 2.206 -0.967
Cu 4.134 1.241 2.177
Cu 0.622 3.201 2.208
Cu -1.227 4.095 -0.997
Sb -3.035 5.373 1.968
Sb 6.188 0.415 5.143
S -0.979 1.503 2.209
S 1.822 0.044 5.384
S 4.405 2.008 4.308
S -0.730 4.738 1.134
S 0.886 3.801 4.401
S 2.685 2.754 1.227